[1]
AcHoIr2 | Alexandria via LeMat-Bulk | GGA-PBE | relaxed; E = -6.847 eV per atom; energy of formation = -5.7 kcal/mol of atoms; crystal system = orthorhombic; Fermi-level density of states = 1.19 states/eV per cell
1.0
3.351 0.000 0.000
0.000 3.818 3.819
0.000 -3.818 3.819
Ac Ho Ir
1 1 2
direct
0.000 0.000 0.000
0.500 0.501 0.501
0.500 0.001 0.500
0.500 0.500 0.001


[2]
AcHoIr2 | Alexandria via LeMat-Bulk | GGA-PBE | relaxed; E = -7.134 eV per atom; energy of formation = -12.3 kcal/mol of atoms; crystal system = cubic; Fermi-level density of states = 4.06 states/eV per cell
1.0
0.000 3.572 3.572
3.572 0.000 3.572
3.572 3.572 0.000
Ac Ho Ir
1 1 2
direct
0.000 0.000 0.000
0.500 0.500 0.500
0.250 0.250 0.250
0.750 0.750 0.750


[3]
AcHoIr2 | Alexandria via LeMat-Bulk | GGA-PBE | relaxed; E = -7.174 eV per atom; energy of formation = -13.2 kcal/mol of atoms; crystal system = tetragonal; Fermi-level density of states = 3.25 states/eV per cell
1.0
3.508 0.000 0.000
0.000 3.508 0.000
0.000 0.000 7.345
Ac Ho Ir
1 1 2
direct
0.000 0.000 0.000
0.000 0.000 0.500
0.500 0.500 0.280
0.500 0.500 0.720


[4]
LiAcHoIr | Alexandria via LeMat-Bulk | GGA-PBE | relaxed; E = -5.237 eV per atom; energy of formation = -8.6 kcal/mol of atoms; crystal system = cubic; Fermi-level density of states = 3.07 states/eV per cell
1.0
0.000 3.637 3.637
3.637 0.000 3.637
3.637 3.637 0.000
Li Ac Ho Ir
1 1 1 1
direct
0.000 0.000 0.000
0.750 0.750 0.750
0.250 0.250 0.250
0.500 0.500 0.500